# 1
Here is a geometry-optimized LaCuPbSeS2 structure from OQMD. Energies are from PBE.

Unit cell a=6.947 b=6.947 c=11.123 alpha=90.00 beta=90.00 gamma=145.97
Element x y z (fractional)
La (0.000, 0.000, 0.000)
La (0.000, 0.000, 0.500)
Cu (0.469, 0.531, 0.750)
Cu (0.531, 0.469, 0.250)
Pb (0.233, 0.767, 0.250)
Pb (0.767, 0.233, 0.750)
Se (0.085, 0.915, 0.750)
Se (0.915, 0.085, 0.250)
S (0.364, 0.636, 0.582)
S (0.364, 0.636, 0.918)
S (0.636, 0.364, 0.082)
S (0.636, 0.364, 0.418)

Properties
Space group ... Cmcm, No. 63
Raw total energy ... -30.72 eV per formula unit
Calculated density ... 6.111 g/cm3

---

# 2
Here is a geometry-optimized GdCdSO structure from OQMD. Energies are from PBE.

Unit cell a=7.106 b=7.109 c=12.660 alpha=90.00 beta=90.00 gamma=90.00
Element x y z (fractional)
Gd (0.105, 0.048, 0.236)
Gd (0.105, 0.452, 0.736)
Gd (0.395, 0.548, 0.236)
Gd (0.395, 0.952, 0.736)
Gd (0.605, 0.048, 0.264)
Gd (0.605, 0.452, 0.764)
Gd (0.895, 0.548, 0.264)
Gd (0.895, 0.952, 0.764)
Cd (0.035, 0.209, 0.528)
Cd (0.035, 0.291, 0.028)
Cd (0.465, 0.709, 0.528)
Cd (0.465, 0.791, 0.028)
Cd (0.535, 0.209, 0.972)
Cd (0.535, 0.291, 0.472)
Cd (0.965, 0.709, 0.972)
Cd (0.965, 0.791, 0.472)
S (0.208, 0.510, 0.427)
S (0.208, 0.990, 0.927)
S (0.292, 0.010, 0.427)
S (0.292, 0.490, 0.927)
S (0.708, 0.510, 0.073)
S (0.708, 0.990, 0.573)
S (0.792, 0.010, 0.073)
S (0.792, 0.490, 0.573)
O (0.138, 0.728, 0.207)
O (0.138, 0.772, 0.707)
O (0.362, 0.228, 0.207)
O (0.362, 0.272, 0.707)
O (0.638, 0.728, 0.293)
O (0.638, 0.772, 0.793)
O (0.862, 0.228, 0.293)
O (0.862, 0.272, 0.793)

Properties
Space group ... Pbca, No. 61
Raw total energy ... -21.12 eV per formula unit
Calculated density ... 6.599 g/cm3